1.
The following is a PBE calculation of an optimized crystal structure of KBeW2, from the Alexandria database.

The energy relative to the elements is 1532.8 meV/atom. Its total energy is -24.599 eV for the cell shown. As for the size of the total moment: 0.000 μB per atom. The density of states at the Fermi level comes out at 0.790 states/eV per atom.

The space group is P2/m (No. 10) and the conventional cell measures 2.6681, 5.1371 and 5.2381 Å, with angles of 90.00, 95.37 and 90.00 degrees. The distinct sites, in fractional coordinates, are K at (0.0000, 0.0000, 0.0000), Be at (0.5000, 0.0000, 0.5000) and W at (0.2748, 0.5000, 0.7370).

2.
The following is a PBE calculation of an optimized crystal structure of SrTl3Hg4, from the Alexandria database.

The energy relative to the elements is -157.0 meV/atom. The value obtained for the relative energy among the computed polymorphs is 42 meV per atom. Its total energy is -22.488 eV for the cell shown. As for the size of the total moment: 0.000 μB per atom. The density of states at the Fermi level comes out at 0.429 states/eV per atom.

The space group is C2/m (No. 12) and the conventional cell measures 17.7533, 5.3110 and 5.0880 Å, with angles of 90.00, 106.40 and 90.00 degrees. The distinct sites, in fractional coordinates, are Sr at (0.0000, 0.0000, 0.0000), Tl at (0.0000, 0.5000, 0.5000), Tl at (0.1411, 0.5000, 0.1381), Hg at (0.1307, 0.0000, 0.6331) and Hg at (0.2451, 0.0000, 0.2489).